Computed, not measured: a relaxed PmHfAl crystal at the PBE level of DFT.

The formation energy comes out at 0.175 eV/atom.

a = 3.0471 Å, b = 5.0909 Å, c = 5.0909 Å
α = 120.00°, β = 90.00°, γ = 90.00°
Sites, in units of the cell vectors:
Al1 0.6669 0.6667 0.3333
Pm1 0.1665 0.3333 0.6667
Hf1 0.1666 0.0000 0.0000

---

Computed, not measured: a relaxed PmHfAl2 crystal at the PBE level of DFT.

The formation energy comes out at -0.048 eV/atom.

a = 3.2756 Å, b = 3.2756 Å, c = 9.9303 Å
α = 80.51°, β = 80.51°, γ = 60.00°
Sites, in units of the cell vectors:
Al1 0.7435 0.7435 0.7695
Al2 0.2565 0.2565 0.2305
Pm1 0.5000 0.5000 0.5000
Hf1 0.0000 0.0000 0.0000

---

Computed, not measured: a relaxed PmHfAl2 crystal at the PBE level of DFT.

The formation energy comes out at -0.276 eV/atom.

a = 3.6171 Å, b = 3.6171 Å, c = 6.7188 Å
α = 90.00°, β = 90.00°, γ = 90.00°
Sites, in units of the cell vectors:
Al1 0.0000 0.0000 0.7937
Al2 0.0000 0.0000 0.2063
Pm1 0.5000 0.5000 0.5000
Hf1 0.5000 0.5000 0.0000

---

Computed, not measured: a relaxed PmHfAl crystal at the PBE level of DFT.

The formation energy comes out at -0.104 eV/atom.

a = 4.6249 Å, b = 3.2710 Å, c = 13.3439 Å
α = 90.00°, β = 90.00°, γ = 134.99°
Sites, in units of the cell vectors:
Pm1 0.6944 0.3888 0.3281
Pm2 0.6944 0.3888 0.6719
Al1 0.1943 0.3886 0.5000
Al2 0.6945 0.3890 0.0000
Hf1 0.1945 0.3890 0.1372
Hf2 0.1945 0.3890 0.8628